First-principles (PBE) data for a relaxed Sc2CrTc crystal, as listed in Alexandria.

Values from the calculation:
DFT total energy (eV/atom): -8.095
Calculated formation energy (eV/atom): 0.07
Relative energy among the computed polymorphs (meV per atom): 110

Cell: 3.3306 3.3306 6.4983 Å, 90.00 90.00 90.00°
With the nearest neighbours (Å) after each atom.
Space group P4/mmm (No. 123)
One atom of each set of equivalent atoms:
Sc 0.0000 0.0000 0.2324 x2  4 Tc 2.80, 4 Cr 2.93, 1 Sc 3.02
Cr 0.5000 0.5000 0.5000 x1  8 Sc 2.93, 2 Tc 3.25
Tc 0.5000 0.5000 0.0000 x1  8 Sc 2.80


First-principles (PBE) data for a relaxed GaHgHAu crystal, as listed in Alexandria.

Values from the calculation:
DFT total energy (eV/atom): -2.376
Relative energy among the computed polymorphs (meV per atom): 65

Cell: 3.1854 3.3484 6.7680 Å, 90.00 90.00 90.00°
With the nearest neighbours (Å) after each atom.
Space group Pmm2 (No. 25)
One atom of each set of equivalent atoms:
Ga 0.0000 0.0000 0.0000 x1  2 H 2.83, 4 Au 2.85, 2 Hg 2.95
Hg 0.0000 0.5000 0.6407 x1  2 Ga 2.95, 4 H 3.05, 2 Au 3.11, 2 Hg 3.19
H 0.5000 0.0000 0.3459 x1  2 Au 1.80
Au 0.5000 0.5000 0.2469 x1  2 H 1.80